Record 1
8
Lattice="-6.1627 1.2043 -2.2921 -2.4129 -4.8174 3.9564 -4.6377 -0.1390 2.6492" Properties=species:S:1:pos:R:3 comment="PBE CdFe2Co, relaxed" e_tot_ev_per_fu=-21.3 space_group="No. 122" crystal_system=tetragonal pbc="T T T"
Fe -3.7892 -2.8264 2.7179
Fe -10.8444 -2.9911 3.2176
Fe -4.9614 0.0471 -0.1450
Fe -6.8317 -1.7338 2.8366
Co -4.2878 -1.8066 0.8322
Cd 0.0000 0.0000 0.0000
Co -5.6692 -3.3815 3.7189
Cd -7.5441 -0.3707 0.5946

***

Record 2
4
Lattice="3.0292 0.0000 0.0000 0.0000 3.0135 -0.0054 0.0000 2.9968 7.0664" Properties=species:S:1:pos:R:3 comment="PBE Cd2FeCo, relaxed" e_tot_ev_per_fu=-16.8 space_group="No. 6" crystal_system=monoclinic pbc="T T T"
Cd 0.0000 3.0013 6.8135
Co 0.0000 3.0029 3.8495
Fe 1.5146 4.5095 4.9567
Cd 1.5146 1.4985 2.0382

***

Record 3
4
Lattice="-0.6772 -3.7164 1.4842 2.7572 -0.5365 -0.0854 3.2919 1.4382 5.1032" Properties=species:S:1:pos:R:3 comment="PBE Cd2FeCo, relaxed" e_tot_ev_per_fu=-15.9 space_group="No. 10" crystal_system=monoclinic pbc="T T T"
Fe 4.1983 -1.1819 4.5055
Cd 2.7571 -0.5310 -0.0717
Co 1.1737 -1.6328 1.9966
Cd 3.0246 0.4454 2.4952